# 1
4
Lattice="0.6424 -4.3733 0.8260 -2.6953 -2.1646 2.8759 -2.9464 -3.0335 -1.5290" Properties=species:S:1:pos:R:3 comment="Ag2IrRu | the Alexandria database | GGA-PBE | relaxed" formation_energy_ev_per_atom=0.831 total_energy_ev_per_atom=-5.129 volume_a3_per_cell=64.3 polymorph_energy_mev_per_atom=611 pbc="T T T"
Ru 0.0000 0.0000 0.0000
Ir -2.4996 -4.7857 1.0864
Ag -1.2498 -2.3929 0.5432
Ag -3.7495 -7.1786 1.6296

---

# 2
4
Lattice="-0.5133 1.7904 3.4476 -3.8790 0.1002 -0.6296 -0.3758 -3.4953 1.7592" Properties=species:S:1:pos:R:3 comment="AgIr2Ru | the Alexandria database | GGA-PBE | relaxed" formation_energy_ev_per_atom=0.517 total_energy_ev_per_atom=-6.945 volume_a3_per_cell=60.6 polymorph_energy_mev_per_atom=330 pbc="T T T"
Ag -0.4446 -0.8525 2.6034
Ir 0.0000 0.0000 0.0000
Ir -2.1274 -1.6976 0.5648
Ru -2.1962 0.9453 1.4090